(1)
First-principles (GGA-PBE) data for an optimized crystal structure of TlNi3S, as listed in Alexandria via LeMat-Bulk.

Lattice parameters (Å, degrees): 4.249 4.249 4.249 90.00 90.00 90.00
Element x y z (fractional)
1 Ni 0.000 0.500 0.000
2 Ni 0.000 0.000 0.500
3 Ni 0.500 0.000 0.000
4 Tl 0.500 0.500 0.500
5 S 0.000 0.000 0.000

## Properties
- space-group type = No. 221
- ΔE_f (raw) (eV per atom) = 0.049
- total moment (μB/f.u.) = 0.0
- total DFT energy (no corrections) (eV/atom) = -4.718
- theoretical density (g cm⁻³) = 8.9
- offset from the most stable computed form (eV per formula unit) = 0.00

---

(2)
First-principles (GGA-PBE) data for an optimized crystal structure of Tl2Ni3S2, as listed in Alexandria via LeMat-Bulk.

Lattice parameters (Å, degrees): 5.668 5.668 5.668 58.63 58.63 58.63
Element x y z (fractional)
1 Ni 0.000 0.500 0.000
2 Ni 0.000 0.000 0.500
3 Ni 0.500 0.000 0.000
4 S 0.271 0.271 0.271
5 S 0.729 0.729 0.729
6 Tl 0.500 0.500 0.500
7 Tl 0.000 0.000 0.000

## Properties
- space-group type = No. 166
- ΔE_f (raw) (eV per atom) = -0.276
- total moment (μB/f.u.) = 0.0
- total DFT energy (no corrections) (eV/atom) = -4.609
- theoretical density (g cm⁻³) = 8.6

---

(3)
First-principles (GGA-PBE) data for an optimized crystal structure of Tl6NiS8, as listed in Alexandria via LeMat-Bulk.

Lattice parameters (Å, degrees): 7.904 7.904 7.904 101.00 101.00 101.00
Element x y z (fractional)
1 Tl 0.471 0.856 0.656
2 Tl 0.529 0.144 0.344
3 Tl 0.856 0.656 0.471
4 Tl 0.344 0.529 0.144
5 Tl 0.656 0.471 0.856
6 Tl 0.144 0.344 0.529
7 S 0.657 0.394 0.168
8 S 0.394 0.168 0.657
9 S 0.832 0.343 0.606
10 S 0.810 0.810 0.810
11 S 0.343 0.606 0.832
12 S 0.190 0.190 0.190
13 S 0.606 0.832 0.343
14 S 0.168 0.657 0.394
15 Ni 0.000 0.000 0.000

## Properties
- space-group type = No. 148
- ΔE_f (raw) (eV per atom) = 0.045
- total moment (μB/f.u.) = 0.1
- total DFT energy (no corrections) (eV/atom) = -3.489
- theoretical density (g cm⁻³) = 5.5

---

Q: Look up the total DFT energy (no corrections) of the third one.
A: -3.489 eV/atom

---

Q: Which of these has the lowest total DFT energy (no corrections)?
A: TlNi3S

---

Q: Which of these has the highest total DFT energy (no corrections)?
A: Tl6NiS8